Entry 1:
# LiGePCl2 | the Alexandria database | GGA-PBE | optimized geometry
# DOS at the Fermi energy ... 3.11 states/eV/cell
# Polymorph energy (0 for the lowest one) ... 0.2037 eV/atom
# E_form (uncorrected) ... -0.01 eV/f.u.
data_LiGePCl2
_chemical_formula_sum 'Li1 Ge1 P1 Cl2'
_space_group_name_H-M_alt 'P 4/m m m'
_space_group_IT_number 123
_space_group_name_Hall '-P 4 2'
_cell_length_a 4.450
_cell_length_b 4.450
_cell_length_c 5.227
_cell_angle_alpha 90.00
_cell_angle_beta 90.00
_cell_angle_gamma 90.00
loop_
_atom_site_label
_atom_site_fract_x
_atom_site_fract_y
_atom_site_fract_z
Li1 0.000 0.000 0.000
Ge1 0.500 0.500 0.500
P1 0.000 0.000 0.500
Cl1 0.000 0.500 0.000


Entry 2:
# LiGeP2Cl | the Alexandria database | GGA-PBE | optimized geometry
# DOS at the Fermi energy ... 3.10 states/eV/cell
# Polymorph energy (0 for the lowest one) ... 0.2596 eV/atom
# E_form (uncorrected) ... 2.66 eV/f.u.
data_LiGeP2Cl
_chemical_formula_sum 'Li1 Ge1 P2 Cl1'
_space_group_name_H-M_alt 'P 4/m m m'
_space_group_IT_number 123
_space_group_name_Hall '-P 4 2'
_cell_length_a 4.403
_cell_length_b 4.403
_cell_length_c 4.859
_cell_angle_alpha 90.00
_cell_angle_beta 90.00
_cell_angle_gamma 90.00
loop_
_atom_site_label
_atom_site_fract_x
_atom_site_fract_y
_atom_site_fract_z
Li1 0.000 0.000 0.000
Ge1 0.500 0.500 0.500
P1 0.000 0.500 0.000
Cl1 0.000 0.000 0.500


Which formula does entry 2 have?
LiGeP2Cl


Number 2 is which compound?
LiGeP2Cl